[1]
Compound: Rb3Cd6In5
Source: the Alexandria database
Functional: PBE-GGA
Structure: relaxed

Summary:
Crystal system: orthorhombic
Space-group type: Pmmn
Energy, eV/atom: -1.635
Total magnetization, μB per cell: 0.00
ΔH_f (0 K), eV per atom: -0.057

extended XYZ file:
```
28
Lattice="-1.4105 1.6903 -4.6061 -10.6453 -0.0534 3.2403 1.3914 14.2576 4.8061" Properties=species:S:1:pos:R:3 pbc="T T T"
Cd -9.0300 12.4165 7.3218
Rb -8.0608 7.9336 2.5507
Cd -4.5633 3.2012 -0.2570
Rb -1.7221 9.9362 4.1737
Cd 0.1311 7.1259 2.5749
In -4.4347 12.3724 5.8984
Rb -8.3821 3.6262 1.0684
Cd -3.6357 12.7056 2.9469
Cd -6.0915 4.7193 3.5973
Rb -7.5413 12.2420 3.9727
Cd -10.0721 1.7383 3.7223
In -0.5799 12.6421 1.9878
In -4.8287 9.8057 2.2480
In -7.9202 -0.0397 2.4108
In -1.4921 3.2954 -1.1629
Cd -6.4458 0.8164 -0.5557
In -5.4637 1.8285 2.3442
Rb -2.5940 -0.0130 0.7896
Cd -0.2334 9.7616 0.8246
Cd -5.6276 9.4725 5.1995
Cd -4.2090 7.1042 3.8960
Rb -2.2727 4.2944 2.2719
Cd -0.5827 6.1823 -0.3820
In -9.1627 4.6251 4.5032
In -2.7346 7.9603 0.9295
In -8.6834 9.5360 6.1586
In -5.1911 6.0920 0.9961
Cd -10.7859 0.7946 0.7654
```

[2]
Compound: Rb2CdIn2
Source: the Alexandria database
Functional: PBE-GGA
Structure: relaxed

Summary:
Crystal system: orthorhombic
Space-group type: Cmcm
Energy, eV/atom: -1.678
Total magnetization, μB per cell: 0.00
ΔH_f (0 K), eV per atom: -0.013
Energy above the lowest structure with this stoichiometry, eV/atom: 0.000

extended XYZ file:
```
10
Lattice="7.2177 -0.1590 0.0000 -1.7820 6.9961 0.0000 0.0000 0.0000 9.0947" Properties=species:S:1:pos:R:3 pbc="T T T"
Rb -0.0873 5.6488 4.5473
Rb 5.5231 1.1883 0.0000
In 1.9036 2.3943 3.7460
Rb -0.0873 5.6488 0.0000
In 1.9036 2.3943 0.8014
In 3.5322 4.4428 8.2933
Rb 5.5231 1.1883 4.5473
Cd 1.8078 2.2738 6.8210
In 3.5322 4.4428 5.3487
Cd 3.6280 4.5633 2.2737
```